[1]
# KPr2VO5

A relaxed structure of KPr2VO5 (GGA+U, the Alexandria database).

The value obtained for the energy is -7.2987 eV/atom.

The structure belongs to space group P4/mbm (No. 127); the cell edges are 6.9247, 6.9247 and 5.7832 Å and the angles 90.00°, 90.00° and 90.00°. Symmetry generates all atoms from K at (0.0000, 0.0000, 0.0000), Pr at (0.1784, 0.3216, 0.5000), V at (0.0000, 0.5000, 0.0000), O at (0.0000, 0.0000, 0.5000) and O at (0.1301, 0.6301, 0.2410).

***

[2]
# K2PrVO4

A relaxed structure of K2PrVO4 (GGA+U, the Alexandria database).

The value obtained for the energy is -6.3229 eV/atom.

The structure belongs to space group I-4 (No. 82); the cell edges are 6.1816, 6.1816 and 7.4821 Å and the angles 90.00°, 90.00° and 90.00°. Symmetry generates all atoms from K at (0.0000, 0.0000, 0.0000), K at (0.0000, 0.5000, 0.2500), Pr at (0.0000, 0.5000, 0.7500), V at (0.0000, 0.0000, 0.5000) and O at (0.1596, 0.7504, 0.5645).

***

[3]
# K2Pr2VO6

A relaxed structure of K2Pr2VO6 (GGA+U, the Alexandria database).

The value obtained for the energy is -6.8351 eV/atom.

The structure belongs to space group C2/m (No. 12); the cell edges are 6.0295, 10.2999 and 6.5819 Å and the angles 90.00°, 104.04° and 90.00°. Symmetry generates all atoms from K at (0.0000, 0.1559, 0.0000), Pr at (0.0000, 0.3339, 0.5000), V at (0.0000, 0.0000, 0.5000), O at (0.1929, 0.1511, 0.6723) and O at (0.2185, 0.0000, 0.3307).

***

[4]
# KPrW2O8

A relaxed structure of KPrW2O8 (GGA+U, the Alexandria database).

The value obtained for the energy is -7.4048 eV/atom.

The structure belongs to space group C2/m (No. 12); the cell edges are 10.4410, 10.9463 and 7.6248 Å and the angles 90.00°, 125.83° and 90.00°. Symmetry generates all atoms from K at (0.1896, 0.0000, 0.0274), Pr at (0.0000, 0.1997, 0.5000), W at (0.0000, 0.3383, 0.0000), W at (0.2045, 0.5000, 0.4431), O at (0.0160, 0.5000, 0.8441), O at (0.0468, 0.2371, 0.8561), O at (0.0744, 0.0000, 0.3922), O at (0.1689, 0.3732, 0.5650) and O at (0.2194, 0.3738, 0.2399).

***

[5]
# KPrW2O8

A relaxed structure of KPrW2O8 (GGA+U, the Alexandria database).

The value obtained for the energy is -7.3046 eV/atom.

The structure belongs to space group I-4m2 (No. 119); the cell edges are 7.8149, 7.8149 and 6.8515 Å and the angles 90.00°, 90.00° and 90.00°. Symmetry generates all atoms from K at (0.0000, 0.0000, 0.0000), Pr at (0.0000, 0.5000, 0.2500), W at (0.0000, 0.0000, 0.5000), W at (0.0000, 0.5000, 0.7500), O at (0.0000, 0.1914, 0.3485) and O at (0.0000, 0.3248, 0.9241).

***

[6]
# KPrZnWO6

A relaxed structure of KPrZnWO6 (GGA+U, the Alexandria database).

The value obtained for the energy is -6.5729 eV/atom.

The structure belongs to space group F-43m (No. 216); the cell edges are 8.0220, 8.0220 and 8.0220 Å and the angles 90.00°, 90.00° and 90.00°. Symmetry generates all atoms from K at (0.0000, 0.0000, 0.0000), Pr at (0.0000, 0.0000, 0.5000), Zn at (0.2500, 0.2500, 0.7500), W at (0.2500, 0.2500, 0.2500) and O at (0.0082, 0.2500, 0.2500).